The following is a GGA-PBEsol calculation of a relaxed structure of KCuSe2, from the Alexandria database.

Output
Uncorrected formation energy   -0.542 eV/atom
Symmetry   No. 10
M_tot   0.000 μB/cell

a b c (Å): 4.8967 3.7207 5.7954
angles (deg): 90.00 90.16 90.00
Last column: nearest neighbours and their distance in Å.
Element x y z (fractional)
K 0.0000 0.0000 0.0000  8 Se 3.40, 2 K 3.72, 4 Cu 3.79-3.80
Cu 0.5000 0.0000 0.5000  4 Se 2.36
Se 0.4990 0.5000 0.7511  2 Cu 2.36
Se 0.5010 0.5000 0.2489  2 Cu 2.36